VASP calculation (PBE with a Hubbard U) on a geometry-optimized VCd2O5 structure.

Cell: 6.050 6.050 10.594 Å, 90.00 90.00 143.45°
Sites, in units of the cell vectors:
V  0.146  0.854  0.750
V  0.854  0.146  0.250
Cd  0.143  0.857  0.068
Cd  0.143  0.857  0.432
Cd  0.857  0.143  0.568
Cd  0.857  0.143  0.932
O  0.045  0.955  0.625
O  0.045  0.955  0.875
O  0.277  0.723  0.617
O  0.277  0.723  0.883
O  0.327  0.673  0.250
O  0.673  0.327  0.750
O  0.723  0.277  0.117
O  0.723  0.277  0.383
O  0.955  0.045  0.125
O  0.955  0.045  0.375

Calculated values
**E**: -5.443 eV per atom
**Excess energy over the best structure of this formula in the dataset**: 0.000 eV/atom
**M_tot**: 1.031 μB per formula unit